Density functional theory data (PBE) for BaTe3 after structural relaxation.

symmetry = No. 123
raw formation energy = -2.35 eV/f.u.

CIF file:
```
data_BaTe3
_cell_length_a 4.600
_cell_length_b 4.600
_cell_length_c 6.634
_cell_angle_alpha 90.00
_cell_angle_beta 90.00
_cell_angle_gamma 90.00
_space_group_name_H-M_alt 'P 1'
_space_group_IT_number 1
loop_
_space_group_symop_operation_xyz
'x,y,z'
loop_
_atom_site_label
_atom_site_fract_x
_atom_site_fract_y
_atom_site_fract_z
_atom_site_occupancy
Ba1 0.000 0.000 0.000 1
Te1 0.500 0.500 0.253 1
Te2 0.000 0.000 0.500 1
Te3 0.500 0.500 0.747 1
```